1.
A plane-wave DFT calculation with PBEsol was carried out for LaPtSe after structural relaxation.

Output
Formation energy from raw total energies in eV/atom: -0.845
E above lowest polymorph in kJ/mol of formula units: 123

Cell and atoms, written as CIF:
```
data_LaPtSe
_chemical_formula_sum 'La4 Pt4 Se4'
_symmetry_space_group_name_H-M 'F -4 3 m'
_symmetry_Int_Tables_number 216
_symmetry_space_group_name_Hall 'F -4 2 3'
_cell_length_a 6.634
_cell_length_b 6.634
_cell_length_c 6.634
_cell_angle_alpha 90.00
_cell_angle_beta 90.00
_cell_angle_gamma 90.00
loop_
_atom_site_label
_atom_site_fract_x
_atom_site_fract_y
_atom_site_fract_z
La1 0.000 0.000 0.000
Pt1 0.000 0.000 0.500
Se1 0.250 0.250 0.750
```

---

2.
A plane-wave DFT calculation with PBEsol was carried out for YTl2 after structural relaxation.

Output
Energy of formation from the pure elements in meV/atom: -299.5

Cell and atoms, written as CIF:
```
data_YTl2
_chemical_formula_sum 'Y4 Tl8'
_symmetry_space_group_name_H-M 'C m c m'
_symmetry_Int_Tables_number 63
_symmetry_space_group_name_Hall '-C 2c 2'
_cell_length_a 4.772
_cell_length_b 15.349
_cell_length_c 4.267
_cell_angle_alpha 90.00
_cell_angle_beta 90.00
_cell_angle_gamma 90.00
loop_
_atom_site_label
_atom_site_fract_x
_atom_site_fract_y
_atom_site_fract_z
Y1 0.000 0.092 0.250
Tl1 0.000 0.263 0.750
Tl2 0.000 0.427 0.250
```

---

In order of appearance, mass density = 9.4; 10.6 g cm⁻³.